i.
{"formula": "SmScCuPd", "functional": "PBE-GGA", "state": "relaxed", "spacegroup": "F-43m (216)", "magmom_total_mub_per_fu": 0.00, "lattice_angstrom": [[-0.0507, 4.1456, 2.5512], [-2.8281, 3.6984, -1.4216], [-3.9285, 1.2034, 2.6109]], "species": ["Cu", "Pd", "Sm", "Sc"], "fractional_positions": [[0.0000, 0.0000, 0.0000], [0.5000, 0.5000, 0.5000], [0.7500, 0.7500, 0.7500], [0.2500, 0.2500, 0.2500]]}

ii.
{"formula": "SmScCuPd", "functional": "PBE-GGA", "state": "relaxed", "spacegroup": "Amm2 (38)", "magmom_total_mub_per_fu": 0.00, "lattice_angstrom": [[3.6084, 0.0000, 0.0000], [0.0000, 4.4633, 0.0000], [-1.8042, 0.0000, 5.2249]], "species": ["Cu", "Sm", "Pd", "Sc"], "fractional_positions": [[0.4258, 0.0000, 0.8517], [0.8566, 0.5000, 0.7133], [0.5815, 0.5000, 0.1630], [0.1360, 0.0000, 0.2721]]}

Verdict on stability: i comes out at the bottom.

i.
{"formula": "CuPd6Se2", "functional": "PBE-GGA", "state": "relaxed", "spacegroup": "P2_1/c (14)", "magmom_total_mub_per_fu": 0.00, "lattice_angstrom": [[-4.6240, 4.6468, -1.8664], [-3.6701, -4.1449, -1.2270], [-1.7117, -0.7368, 7.6089]], "species": ["Pd", "Pd", "Pd", "Pd", "Pd", "Pd", "Pd", "Pd", "Pd", "Pd", "Pd", "Pd", "Se", "Se", "Se", "Se", "Cu", "Cu"], "fractional_positions": [[0.2373, 0.3575, 0.4402], [0.3097, 0.1619, 0.7756], [0.8533, 0.6624, 0.9356], [0.6903, 0.8381, 0.2244], [0.3533, 0.8376, 0.4356], [0.7373, 0.1425, 0.9402], [0.7627, 0.6425, 0.5598], [0.2627, 0.8575, 0.0598], [0.8097, 0.3381, 0.2756], [0.6467, 0.1624, 0.5644], [0.1467, 0.3376, 0.0644], [0.1903, 0.6619, 0.7244], [0.5376, 0.8213, 0.7518], [0.4624, 0.1787, 0.2482], [0.0377, 0.6787, 0.2517], [0.9624, 0.3213, 0.7482], [0.5000, 0.5000, 0.0000], [0.0000, 0.0000, 0.5000]]}

ii.
{"formula": "CuPd6Se2", "functional": "PBE-GGA", "state": "relaxed", "spacegroup": "Fmmm (69)", "magmom_total_mub_per_fu": 0.00, "lattice_angstrom": [[-3.2532, -1.0100, -2.6991], [1.4981, -0.9983, -4.9310], [-0.8787, -7.0781, 0.2086]], "species": ["Pd", "Pd", "Pd", "Pd", "Pd", "Pd", "Se", "Se", "Cu"], "fractional_positions": [[0.6567, 0.1867, 0.5000], [0.3433, 0.8133, 0.5000], [0.9900, 0.1908, 0.8293], [0.3192, 0.1908, 0.1707], [0.6808, 0.8092, 0.8293], [0.0100, 0.8092, 0.1707], [0.3483, 0.5000, 0.8033], [0.6517, 0.5000, 0.1967], [0.0000, 0.5000, 0.5000]]}

Verdict on stability: i comes out at the bottom.

i.
{"formula": "Cu2Pd2Se", "functional": "PBE-GGA", "state": "relaxed", "spacegroup": "P4/mbm (127)", "magmom_total_mub_per_fu": 0.00, "lattice_angstrom": [[-0.4605, -2.9110, 6.6835], [7.0724, 1.4456, 1.1169], [-0.7014, 2.5955, 1.0822]], "species": ["Pd", "Pd", "Pd", "Pd", "Cu", "Cu", "Cu", "Cu", "Se", "Se"], "fractional_positions": [[0.8297, 0.6703, 0.0000], [0.3297, 0.8297, 0.0000], [0.6703, 0.1703, 0.0000], [0.1703, 0.3297, 0.0000], [0.8755, 0.3755, 0.5000], [0.1245, 0.6245, 0.5000], [0.6245, 0.8755, 0.5000], [0.3755, 0.1245, 0.5000], [0.0000, 0.0000, 0.0000], [0.5000, 0.5000, 0.0000]]}

ii.
{"formula": "Cu2Pd2Se", "functional": "PBE-GGA", "state": "relaxed", "spacegroup": "P4/mbm (127)", "magmom_total_mub_per_fu": 0.00, "lattice_angstrom": [[-2.3580, -5.8692, -0.5263], [2.3407, -1.4531, 5.7179], [-3.2097, 1.1456, 1.6051]], "species": ["Se", "Se", "Cu", "Cu", "Cu", "Cu", "Pd", "Pd", "Pd", "Pd"], "fractional_positions": [[0.0000, 0.0000, 0.0000], [0.5000, 0.5000, 0.0000], [0.3637, 0.8637, 0.0000], [0.8637, 0.6363, 0.0000], [0.6363, 0.1363, 0.0000], [0.1363, 0.3637, 0.0000], [0.1623, 0.6623, 0.5000], [0.8377, 0.3377, 0.5000], [0.3377, 0.1623, 0.5000], [0.6623, 0.8377, 0.5000]]}

Verdict on stability: i comes out at the bottom.

i.
{"formula": "CuPd3Se6", "functional": "PBE-GGA", "state": "relaxed", "spacegroup": "R3 (146)", "magmom_total_mub_per_fu": 0.00, "lattice_angstrom": [[-6.2250, -1.9141, 0.1384], [-2.1084, -4.5298, -4.1797], [-1.4682, -6.1417, 2.3205]], "species": ["Se", "Se", "Se", "Se", "Se", "Se", "Pd", "Pd", "Pd", "Cu"], "fractional_positions": [[0.2482, 0.9434, 0.2539], [0.0575, 0.4529, 0.7455], [0.7440, 0.0575, 0.7455], [0.5545, 0.2482, 0.2539], [0.9434, 0.5545, 0.2539], [0.4529, 0.7440, 0.7455], [0.6521, 0.6521, 0.0438], [0.1491, 0.1491, 0.5526], [0.3457, 0.3457, 0.9629], [0.8526, 0.8526, 0.4423]]}

ii.
{"formula": "CuPd3Se6", "functional": "PBE-GGA", "state": "relaxed", "spacegroup": "P2_1/c (14)", "magmom_total_mub_per_fu": 0.00, "lattice_angstrom": [[4.1208, 0.0000, 0.7038], [0.0000, 13.8541, 0.0000], [1.0810, 0.0000, 7.4967]], "species": ["Se", "Se", "Se", "Se", "Se", "Se", "Se", "Se", "Se", "Se", "Se", "Se", "Cu", "Cu", "Pd", "Pd", "Pd", "Pd", "Pd", "Pd"], "fractional_positions": [[0.7806, 0.4237, 0.2094], [0.1463, 0.3670, 0.5202], [0.9062, 0.1740, 0.4349], [0.7194, 0.9237, 0.2905], [0.2194, 0.5763, 0.7906], [0.4062, 0.3260, 0.9349], [0.2806, 0.0763, 0.7094], [0.3537, 0.8670, 0.9798], [0.5938, 0.6740, 0.0651], [0.0938, 0.8260, 0.5651], [0.6463, 0.1330, 0.0202], [0.8537, 0.6330, 0.4798], [0.0000, 0.0000, 0.0000], [0.5000, 0.5000, 0.5000], [0.0000, 0.0000, 0.5000], [0.5000, 0.5000, 0.0000], [0.0243, 0.7551, 0.2267], [0.9757, 0.2449, 0.7733], [0.4757, 0.2551, 0.2733], [0.5243, 0.7449, 0.7267]]}

Verdict on stability: ii comes out at the bottom.

i.
{"formula": "Cu2Pd8Se", "functional": "PBE-GGA", "state": "relaxed", "spacegroup": "C2/m (12)", "magmom_total_mub_per_fu": 0.00, "lattice_angstrom": [[4.7017, 0.3758, 0.3214], [1.1213, 6.4317, -0.1854], [1.1213, 0.8139, 6.3826]], "species": ["Pd", "Pd", "Pd", "Pd", "Pd", "Pd", "Pd", "Pd", "Cu", "Cu", "Se"], "fractional_positions": [[0.3024, 0.4246, 0.4246], [0.8001, 0.1500, 0.6800], [0.6976, 0.5754, 0.5754], [0.1999, 0.8500, 0.3200], [0.9065, 0.2706, 0.2706], [0.1999, 0.3200, 0.8500], [0.8001, 0.6800, 0.1500], [0.0935, 0.7294, 0.7294], [0.5117, 0.8541, 0.8541], [0.4883, 0.1459, 0.1459], [0.0000, 0.0000, 0.0000]]}

ii.
{"formula": "Cu2Pd8Se", "functional": "PBE-GGA", "state": "relaxed", "spacegroup": "C2/m (12)", "magmom_total_mub_per_fu": 0.00, "lattice_angstrom": [[4.3750, 0.0000, -1.0205], [-0.4076, 5.3792, -1.7475], [-0.5338, -0.6360, 7.5997]], "species": ["Pd", "Pd", "Pd", "Pd", "Pd", "Pd", "Pd", "Pd", "Se", "Cu", "Cu"], "fractional_positions": [[0.0026, 0.2611, 0.0051], [0.8168, 0.8250, 0.6335], [0.9974, 0.7389, 0.9949], [0.6405, 0.8733, 0.2811], [0.1832, 0.1750, 0.3665], [0.3594, 0.1267, 0.7189], [0.6473, 0.4015, 0.2947], [0.3527, 0.5985, 0.7053], [0.5000, 0.0000, 0.0000], [0.8171, 0.3161, 0.6342], [0.1829, 0.6839, 0.3658]]}

Verdict on stability: i comes out at the bottom.

i.
{"formula": "TlCuPdSe2", "functional": "PBE-GGA", "state": "relaxed", "spacegroup": "Pmmm (47)", "magmom_total_mub_per_fu": 0.00, "lattice_angstrom": [[-1.4529, 0.9513, -3.4789], [5.7773, -3.0377, -3.2435], [-3.7991, -6.9009, -0.3003]], "species": ["Pd", "Pd", "Se", "Se", "Se", "Se", "Cu", "Cu", "Tl", "Tl"], "fractional_positions": [[0.5000, 0.0000, 0.7500], [0.5000, 0.0000, 0.2500], [0.5000, 0.2239, 0.5001], [0.5000, 0.2239, 0.0001], [0.5000, 0.7761, 0.4999], [0.5000, 0.7761, 0.9999], [0.0000, 0.0000, 0.5000], [0.0000, 0.0000, 0.0000], [0.0001, 0.5000, 0.7500], [0.9999, 0.5000, 0.2500]]}

ii.
{"formula": "TlCuPdSe2", "functional": "PBE-GGA", "state": "relaxed", "spacegroup": "P4/mmm (123)", "magmom_total_mub_per_fu": 0.01, "lattice_angstrom": [[5.3625, 0.0000, 0.0000], [0.0000, 5.3625, 0.0000], [0.0000, 0.0000, 4.8829]], "species": ["Tl", "Se", "Se", "Cu", "Pd"], "fractional_positions": [[0.0000, 0.0000, 0.0000], [0.5000, 0.0000, 0.0000], [0.0000, 0.5000, 0.0000], [0.0000, 0.0000, 0.5000], [0.5000, 0.5000, 0.5000]]}

Verdict on stability: ii comes out at the bottom.

i.
{"formula": "CuSi2Pd", "functional": "PBE-GGA", "state": "relaxed", "spacegroup": "Fm-3m (225)", "magmom_total_mub_per_fu": 0.00, "lattice_angstrom": [[4.0082, 0.1804, 1.5768], [0.6366, 0.8562, 4.1769], [1.4177, -3.0963, 2.6434]], "species": ["Si", "Si", "Pd", "Cu"], "fractional_positions": [[0.7500, 0.7500, 0.7500], [0.2500, 0.2500, 0.2500], [0.5000, 0.5000, 0.5000], [0.0000, 0.0000, 0.0000]]}

ii.
{"formula": "CuSi2Pd", "functional": "PBE-GGA", "state": "relaxed", "spacegroup": "I-42d (122)", "magmom_total_mub_per_fu": 0.00, "lattice_angstrom": [[-5.7170, 1.2710, -3.6398], [3.6208, -0.4656, -5.8499], [-1.5387, -2.1025, -4.8491]], "species": ["Pd", "Pd", "Si", "Si", "Si", "Si", "Cu", "Cu"], "fractional_positions": [[0.7500, 0.2500, 0.5000], [0.0000, 0.0000, 0.0000], [0.1273, 0.6250, 0.2500], [0.8750, 0.8727, 0.7500], [0.3750, 0.3773, 0.7500], [0.6227, 0.1250, 0.2500], [0.5000, 0.5000, 0.0000], [0.2500, 0.7500, 0.5000]]}

iii.
{"formula": "CuSi2Pd", "functional": "PBE-GGA", "state": "relaxed", "spacegroup": "R-3m (166)", "magmom_total_mub_per_fu": 0.00, "lattice_angstrom": [[4.0870, 0.0000, 0.0000], [2.0435, 3.5394, 0.0000], [2.0435, 1.1798, 5.8770]], "species": ["Si", "Si", "Pd", "Cu"], "fractional_positions": [[0.8709, 0.8709, 0.3873], [0.1291, 0.1291, 0.6127], [0.5000, 0.5000, 0.5000], [0.0000, 0.0000, 0.0000]]}

Verdict on stability: iii comes out at the bottom.

i.
{"formula": "Cu2Si2Pd", "functional": "PBE-GGA", "state": "relaxed", "spacegroup": "P4/mbm (127)", "magmom_total_mub_per_fu": 0.00, "lattice_angstrom": [[6.9678, 0.0000, 0.0000], [0.0000, 6.9678, 0.0000], [0.0000, 0.0000, 2.8106]], "species": ["Cu", "Cu", "Cu", "Cu", "Si", "Si", "Si", "Si", "Pd", "Pd"], "fractional_positions": [[0.3758, 0.8758, 0.0000], [0.8758, 0.6242, 0.0000], [0.1242, 0.3758, 0.0000], [0.6242, 0.1242, 0.0000], [0.3233, 0.1767, 0.5000], [0.6767, 0.8233, 0.5000], [0.8233, 0.3233, 0.5000], [0.1767, 0.6767, 0.5000], [0.0000, 0.0000, 0.0000], [0.5000, 0.5000, 0.0000]]}

ii.
{"formula": "Cu2Si2Pd", "functional": "PBE-GGA", "state": "relaxed", "spacegroup": "P4/mbm (127)", "magmom_total_mub_per_fu": 0.00, "lattice_angstrom": [[-0.8722, -5.2958, 3.1462], [5.4744, 0.7903, 2.8479], [-1.6477, 1.8484, 2.6545]], "species": ["Cu", "Cu", "Cu", "Cu", "Pd", "Pd", "Si", "Si", "Si", "Si"], "fractional_positions": [[0.3425, 0.1575, 0.5000], [0.6575, 0.8425, 0.5000], [0.8425, 0.3425, 0.5000], [0.1575, 0.6575, 0.5000], [0.0000, 0.0000, 0.0000], [0.5000, 0.5000, 0.0000], [0.6349, 0.1349, 0.0000], [0.8651, 0.6349, 0.0000], [0.1349, 0.3651, 0.0000], [0.3651, 0.8651, 0.0000]]}

Verdict on stability: i comes out at the bottom.

i.
{"formula": "CuSiPd4", "functional": "PBE-GGA", "state": "relaxed", "spacegroup": "P2_1/c (14)", "magmom_total_mub_per_fu": 0.00, "lattice_angstrom": [[-3.4032, 2.5986, -2.2048], [-4.3884, -6.0680, -0.3781], [-3.3604, 2.2193, 3.3855]], "species": ["Pd", "Pd", "Pd", "Pd", "Pd", "Pd", "Pd", "Pd", "Si", "Si", "Cu", "Cu"], "fractional_positions": [[0.3841, 0.8348, 0.1135], [0.9303, 0.8434, 0.6342], [0.0697, 0.1566, 0.3658], [0.5697, 0.3434, 0.3658], [0.1159, 0.3348, 0.8865], [0.8841, 0.6652, 0.1135], [0.4303, 0.6566, 0.6342], [0.6159, 0.1652, 0.8865], [0.5000, 0.5000, 0.0000], [0.0000, 0.0000, 0.0000], [0.5000, 0.0000, 0.5000], [0.0000, 0.5000, 0.5000]]}

ii.
{"formula": "CuSiPd4", "functional": "PBE-GGA", "state": "relaxed", "spacegroup": "Pnma (62)", "magmom_total_mub_per_fu": 0.00, "lattice_angstrom": [[-0.6087, -1.6680, 2.3166], [3.5232, -5.3337, -2.9147], [14.1784, 5.2600, 7.5129]], "species": ["Si", "Si", "Si", "Si", "Pd", "Pd", "Pd", "Pd", "Pd", "Pd", "Pd", "Pd", "Pd", "Pd", "Pd", "Pd", "Pd", "Pd", "Pd", "Pd", "Cu", "Cu", "Cu", "Cu"], "fractional_positions": [[0.7500, 0.2499, 0.4536], [0.2500, 0.2501, 0.9536], [0.2500, 0.7501, 0.5464], [0.7500, 0.7499, 0.0464], [0.2500, 0.5295, 0.4281], [0.2500, 0.0104, 0.7852], [0.7500, 0.9896, 0.2148], [0.2500, 0.6685, 0.1572], [0.7500, 0.4896, 0.2852], [0.2500, 0.1685, 0.3428], [0.7500, 0.9705, 0.9281], [0.7500, 0.3916, 0.0585], [0.7500, 0.3315, 0.8428], [0.7500, 0.4705, 0.5719], [0.7500, 0.8315, 0.6572], [0.7500, 0.8916, 0.4415], [0.2500, 0.5104, 0.7148], [0.2500, 0.0295, 0.0719], [0.2500, 0.6084, 0.9415], [0.2500, 0.1084, 0.5585], [0.2500, 0.7936, 0.3138], [0.7500, 0.2064, 0.6862], [0.2500, 0.2936, 0.1862], [0.7500, 0.7064, 0.8138]]}

Verdict on stability: i comes out at the bottom.

i.
{"formula": "Cu6SiPd", "functional": "PBE-GGA", "state": "relaxed", "spacegroup": "R-3m (166)", "magmom_total_mub_per_fu": 0.00, "lattice_angstrom": [[-1.6960, -1.1046, -4.4366], [-3.8747, -2.9231, -0.4710], [-5.6054, 3.5932, -1.4317]], "species": ["Cu", "Cu", "Cu", "Cu", "Cu", "Cu", "Pd", "Si"], "fractional_positions": [[0.9319, 0.9319, 0.7005], [0.5643, 0.0681, 0.2995], [0.4357, 0.9319, 0.7005], [0.0681, 0.5643, 0.2995], [0.9319, 0.4357, 0.7005], [0.0681, 0.0681, 0.2995], [0.5000, 0.5000, 0.5000], [0.0000, 0.0000, 0.0000]]}

ii.
{"formula": "Cu6SiPd", "functional": "PBE-GGA", "state": "relaxed", "spacegroup": "R-3 (148)", "magmom_total_mub_per_fu": 0.00, "lattice_angstrom": [[-4.6223, 4.5596, 2.2809], [-6.1809, 0.4260, -2.9910], [-4.4979, -0.0476, 1.3696]], "species": ["Cu", "Cu", "Cu", "Cu", "Cu", "Cu", "Pd", "Si"], "fractional_positions": [[0.2491, 0.5507, 0.2221], [0.5505, 0.9783, 0.2221], [0.0219, 0.7510, 0.7784], [0.9781, 0.2490, 0.2216], [0.4495, 0.0217, 0.7779], [0.7509, 0.4493, 0.7779], [0.5000, 0.5000, 0.5000], [0.0000, 0.0000, 0.0000]]}

Verdict on stability: i comes out at the bottom.